Record 1
A plane-wave DFT calculation with PBE-GGA was carried out for a geometry-optimized K2Na2Mg structure.

Geometry as POSCAR:
```
K2Na2Mg
1.0
-2.3334 2.3334 11.1786
2.3334 -2.3334 11.1786
2.3334 2.3334 -11.1786
K Na Mg
2 2 1
direct
0.0956 0.0956 0.0000
0.9044 0.9044 0.0000
0.2500 0.7500 0.5000
0.7500 0.2500 0.5000
0.5000 0.5000 0.0000
```

Summary:
total moment: 0.00 Bohr magnetons per cell
ρ: 1.01 g cm⁻³
density of states at the Fermi level: 0.594 states/eV/atom
VASP energy: -1.112 eV per atom
distance to the lowest polymorph of the same formula: 42.4 meV per atom
formation enthalpy at 0 K: 0.9 eV/f.u.

---

Record 2
A plane-wave DFT calculation with PBE-GGA was carried out for a geometry-optimized LuPaAlSn structure.

Geometry as POSCAR:
```
LuPaAlSn
1.0
0.0000 3.6607 3.6607
3.6607 0.0000 3.6607
3.6607 3.6607 0.0000
Lu Pa Al Sn
1 1 1 1
direct
0.0000 0.0000 0.0000
0.5000 0.5000 0.5000
0.7500 0.7500 0.7500
0.2500 0.2500 0.2500
```

Summary:
total moment: 1.40 Bohr magnetons per cell
ρ: 9.34 g cm⁻³
density of states at the Fermi level: 1.607 states/eV/atom
VASP energy: -5.594 eV per atom
formation enthalpy at 0 K: -0.6 eV/f.u.

---

Record 3
A plane-wave DFT calculation with PBE-GGA was carried out for a geometry-optimized ScSnSeN2 structure.

Geometry as POSCAR:
```
ScSnSeN2
1.0
4.0714 0.0000 0.0000
0.0000 4.0714 0.0000
0.0000 0.0000 5.4391
Sc Sn Se N
1 1 1 2
direct
0.0000 0.0000 0.0000
0.5000 0.5000 0.5000
0.5000 0.5000 0.0000
0.0000 0.5000 0.5000
0.5000 0.0000 0.5000
```

Summary:
total moment: 0.51 Bohr magnetons per cell
ρ: 4.98 g cm⁻³
uncorrected formation energy: 529 meV per atom
density of states at the Fermi level: 0.225 states/eV/atom
VASP energy: -5.565 eV per atom
distance to the lowest polymorph of the same formula: 140.1 meV per atom

---

Record 4
A plane-wave DFT calculation with PBE-GGA was carried out for a geometry-optimized Ca2PrHo structure.

Geometry as POSCAR:
```
Ca2PrHo
1.0
3.6018 0.0000 0.0000
0.0034 5.9930 0.0000
1.7448 0.0096 6.8066
Ca Pr Ho
2 1 1
direct
0.0000 0.0000 0.0000
0.2687 0.9994 0.4834
0.6609 0.4993 0.6937
0.3870 0.4998 0.2237
```

Summary:
total moment: 0.00 Bohr magnetons per cell
ρ: 4.36 g cm⁻³
density of states at the Fermi level: 1.604 states/eV/atom
VASP energy: -3.202 eV per atom
distance to the lowest polymorph of the same formula: 30.9 meV per atom
formation enthalpy at 0 K: 0.6 eV/f.u.

---

Record 5
A plane-wave DFT calculation with PBE-GGA was carried out for a geometry-optimized Pm12Nd7Th structure.

Geometry as POSCAR:
```
Pm12Nd7Th
1.0
6.3232 3.6507 5.0563
-6.3232 3.6507 5.0563
0.0000 -7.3014 5.0563
Pm Nd Th
12 7 1
direct
0.0305 0.9250 0.3429
0.0750 0.6571 0.9695
0.2216 0.3633 0.7543
0.2457 0.7784 0.6367
0.3429 0.0305 0.9250
0.3633 0.7543 0.2216
0.6367 0.2457 0.7784
0.6571 0.9695 0.0750
0.7543 0.2216 0.3633
0.7784 0.6367 0.2457
0.9250 0.3429 0.0305
0.9695 0.0750 0.6571
0.0000 0.0000 0.0000
0.1212 0.4333 0.3725
0.3725 0.1212 0.4333
0.4333 0.3725 0.1212
0.5667 0.6275 0.8788
0.6275 0.8788 0.5667
0.8788 0.5667 0.6275
0.5000 0.5000 0.5000
```

Summary:
total moment: 0.00 Bohr magnetons per cell
ρ: 7.07 g cm⁻³
density of states at the Fermi level: 1.732 states/eV/atom
VASP energy: -4.665 eV per atom
distance to the lowest polymorph of the same formula: 0.0 meV per atom
formation enthalpy at 0 K: 4.5 eV/f.u.

---

Record 6
A plane-wave DFT calculation with PBE-GGA was carried out for a geometry-optimized SmHfGaCu structure.

Geometry as POSCAR:
```
SmHfGaCu
1.0
0.0000 3.4458 3.4458
3.4458 0.0000 3.4458
3.4458 3.4458 0.0000
Sm Hf Ga Cu
1 1 1 1
direct
0.0000 0.0000 0.0000
0.5000 0.5000 0.5000
0.2500 0.2500 0.2500
0.7500 0.7500 0.7500
```

Summary:
total moment: 0.49 Bohr magnetons per cell
ρ: 9.38 g cm⁻³
density of states at the Fermi level: 1.121 states/eV/atom
VASP energy: -5.657 eV per atom
formation enthalpy at 0 K: -0.8 eV/f.u.

---

Which formula does entry 1 have? K2Na2Mg